Entry 1:
{"formula": "VRhO4", "functional": "SCAN", "state": "PBEsol geometry", "total_magnetization_mub_per_cell": 0.0, "formation_energy_uncorrected_ev_per_fu": -11.3, "sg": "I4_1md, No. 109", "lattice": [[-2.336, -2.718, 4.046], [1.721, -2.961, -4.181], [4.393, 2.349, 2.097]], "species": ["O", "O", "O", "O", "O", "Rh", "O", "Rh", "O", "V", "O", "V"], "frac_coords": [[0.476, 0.771, 0.704], [0.021, 0.226, 0.204], [0.484, 0.294, 0.810], [0.067, 0.771, 0.296], [0.021, 0.817, 0.796], [0.006, 0.506, 0.500], [0.544, 0.234, 0.310], [0.756, 0.756, 0.000], [0.924, 0.234, 0.690], [0.234, 0.234, 0.000], [0.484, 0.674, 0.190], [0.484, 0.984, 0.500]]}

---

Entry 2:
{"formula": "Nd2Ta2Cl2O7", "functional": "SCAN", "state": "PBEsol geometry", "total_magnetization_mub_per_cell": 0.0, "formation_energy_uncorrected_ev_per_fu": -42.3, "sg": "C2/m, No. 12", "lattice": [[-0.486, 3.762, 0.971], [-3.549, 1.037, -5.797], [-4.107, -3.978, 5.467]], "species": ["O", "Nd", "Cl", "Nd", "Ta", "O", "O", "O", "O", "Cl", "O", "O", "Ta"], "frac_coords": [[0.176, 0.932, 0.351], [0.308, 0.834, 0.616], [0.679, 0.567, 0.357], [0.692, 0.166, 0.384], [0.965, 0.200, 0.930], [0.000, 0.500, 0.000], [0.918, 0.847, 0.836], [0.545, 0.838, 0.090], [0.455, 0.162, 0.910], [0.321, 0.433, 0.643], [0.082, 0.153, 0.164], [0.824, 0.068, 0.649], [0.035, 0.800, 0.070]]}

---

Entry 3:
{"formula": "BePHS2", "functional": "SCAN", "state": "PBEsol geometry", "final_energy_ev_per_fu": -32.36, "total_magnetization_mub_per_cell": 1.0, "sg": "P4/mmm, No. 123", "lattice": [[4.173, 0.000, 0.000], [0.000, 4.232, 0.000], [0.000, 0.000, 4.232]], "species": ["H", "S", "Be", "S", "P"], "frac_coords": [[0.500, 0.500, 0.500], [0.000, 0.500, 0.000], [0.000, 0.000, 0.000], [0.000, 0.000, 0.500], [0.500, 0.000, 0.000]]}